No. 1
# Li7Mg4Ga | the Alexandria database | PBE-GGA | relaxed
# total magnetization: 0.000 Bohr magnetons per cell
# energy relative to the elements: -0.089 eV/atom
# Fermi-level density of states: 5.00 states/eV/cell
data_Li7Mg4Ga
_symmetry_space_group_name_H-M 'P -3 m 1'
_symmetry_Int_Tables_number 164
_symmetry_space_group_name_Hall '-P 3 2"'
_cell_length_a 4.7525
_cell_length_b 4.7525
_cell_length_c 11.5867
_cell_angle_alpha 90.00
_cell_angle_beta 90.00
_cell_angle_gamma 120.00
loop_
_atom_site_label
_atom_site_fract_x
_atom_site_fract_y
_atom_site_fract_z
Li1 0.0000 0.0000 0.0000
Li2 0.0000 0.0000 0.2557
Li3 0.3333 0.6667 0.1742
Li4 0.3333 0.6667 0.4211
Mg1 0.3333 0.6667 0.6557
Mg2 0.3333 0.6667 0.9187
Ga1 0.0000 0.0000 0.5000

=====

No. 2
# Li5Mg4Ga | the Alexandria database | PBE-GGA | relaxed
# total magnetization: 0.000 Bohr magnetons per cell
# energy relative to the elements: -0.018 eV/atom
# offset from the most stable computed form: 1.4 kJ per mole of atoms
# Fermi-level density of states: 6.93 states/eV/cell
data_Li5Mg4Ga
_symmetry_space_group_name_H-M 'C 1 2/m 1'
_symmetry_Int_Tables_number 12
_cell_length_a 15.959
_cell_length_b 3.120
_cell_length_c 9.667
_cell_angle_alpha 90.00
_cell_angle_beta 117.20
_cell_angle_gamma 90.00
loop_
_symmetry_equiv_pos_as_xyz
'x,y,z'
'-x,-y,-z'
'-x,y,-z'
'x,-y,z'
'x+1/2,y+1/2,z'
'-x+1/2,-y+1/2,-z'
'-x+1/2,y+1/2,-z'
'x+1/2,-y+1/2,z'
loop_
_atom_site_label
_atom_site_fract_x
_atom_site_fract_y
_atom_site_fract_z
Li1 0.000 0.000 0.000
Li2 0.165 0.500 0.606
Li3 0.168 0.500 0.153
Mg1 0.032 0.500 0.280
Mg2 0.158 0.000 0.874
Ga1 0.000 0.000 0.500

=====

No. 3
# LiMg6Ga | the Alexandria database | PBE-GGA | relaxed
# total magnetization: 0.000 Bohr magnetons per cell
# energy relative to the elements: -0.043 eV/atom
# offset from the most stable computed form: 1.5 kJ per mole of atoms
# Fermi-level density of states: 7.43 states/eV/cell
data_LiMg6Ga
_symmetry_space_group_name_H-M 'C m m m'
_symmetry_Int_Tables_number 65
_symmetry_space_group_name_Hall '-C 2 2'
_cell_length_a 8.860
_cell_length_b 9.145
_cell_length_c 4.238
_cell_angle_alpha 90.00
_cell_angle_beta 90.00
_cell_angle_gamma 90.00
loop_
_atom_site_label
_atom_site_fract_x
_atom_site_fract_y
_atom_site_fract_z
Li1 0.000 0.000 0.000
Mg1 0.000 0.251 0.500
Mg2 0.248 0.500 0.500
Mg3 0.250 0.250 0.000
Ga1 0.000 0.500 0.000

=====

No. 4
# Li3Mg3Ga2 | the Alexandria database | PBE-GGA | relaxed
# total magnetization: 0.000 Bohr magnetons per cell
# energy relative to the elements: -0.131 eV/atom
# offset from the most stable computed form: 3.7 kJ per mole of atoms
# Fermi-level density of states: 2.90 states/eV/cell
data_Li3Mg3Ga2
_symmetry_space_group_name_H-M 'P -1'
_symmetry_Int_Tables_number 2
_cell_length_a 4.322
_cell_length_b 4.398
_cell_length_c 8.611
_cell_angle_alpha 104.76
_cell_angle_beta 104.41
_cell_angle_gamma 90.16
loop_
_symmetry_equiv_pos_as_xyz
'x,y,z'
'-x,-y,-z'
loop_
_atom_site_label
_atom_site_fract_x
_atom_site_fract_y
_atom_site_fract_z
Li1 0.000 0.000 0.000
Li2 0.140 0.640 0.280
Mg1 0.366 0.867 0.731
Mg2 0.500 0.500 0.000
Ga1 0.249 0.251 0.500

=====

No. 5
# Li15Mg4Ga | the Alexandria database | PBE-GGA | relaxed
# total magnetization: 0.000 Bohr magnetons per cell
# energy relative to the elements: -0.055 eV/atom
# Fermi-level density of states: 9.01 states/eV/cell
data_Li15Mg4Ga
_symmetry_space_group_name_H-M 'P 4/m m m'
_symmetry_Int_Tables_number 123
_symmetry_space_group_name_Hall '-P 4 2'
_cell_length_a 4.230
_cell_length_b 4.230
_cell_length_c 21.612
_cell_angle_alpha 90.00
_cell_angle_beta 90.00
_cell_angle_gamma 90.00
loop_
_atom_site_label
_atom_site_fract_x
_atom_site_fract_y
_atom_site_fract_z
Li1 0.000 0.000 0.000
Li2 0.000 0.000 0.189
Li3 0.000 0.000 0.396
Li4 0.000 0.500 0.086
Li5 0.000 0.500 0.291
Li6 0.000 0.500 0.500
Mg1 0.500 0.500 0.187
Mg2 0.500 0.500 0.396
Ga1 0.500 0.500 0.000

=====

No. 6
# Li8Mg6Ga | the Alexandria database | PBE-GGA | relaxed
# total magnetization: 0.000 Bohr magnetons per cell
# energy relative to the elements: -0.026 eV/atom
# offset from the most stable computed form: 2.9 kJ per mole of atoms
# Fermi-level density of states: 18.76 states/eV/cell
data_Li8Mg6Ga
_symmetry_space_group_name_H-M 'R -3'
_symmetry_Int_Tables_number 148
_symmetry_space_group_name_Hall '-R 3'
_cell_length_a 8.2037
_cell_length_b 8.2037
_cell_length_c 15.4669
_cell_angle_alpha 90.00
_cell_angle_beta 90.00
_cell_angle_gamma 120.00
loop_
_atom_site_label
_atom_site_fract_x
_atom_site_fract_y
_atom_site_fract_z
Li1 0.0000 0.0000 0.2356
Li2 0.0487 0.2706 0.9055
Mg1 0.0196 0.2347 0.4096
Ga1 0.0000 0.0000 0.0000

=====

No. 7
# Li4Mg3Ga | the Alexandria database | PBE-GGA | relaxed
# total magnetization: 0.000 Bohr magnetons per cell
# energy relative to the elements: -0.128 eV/atom
# offset from the most stable computed form: 1.1 kJ per mole of atoms
# Fermi-level density of states: 5.56 states/eV/cell
data_Li4Mg3Ga
_symmetry_space_group_name_H-M 'C 1 2/m 1'
_symmetry_Int_Tables_number 12
_cell_length_a 6.690
_cell_length_b 6.644
_cell_length_c 7.412
_cell_angle_alpha 90.00
_cell_angle_beta 116.70
_cell_angle_gamma 90.00
loop_
_symmetry_equiv_pos_as_xyz
'x,y,z'
'-x,-y,-z'
'-x,y,-z'
'x,-y,z'
'x+1/2,y+1/2,z'
'-x+1/2,-y+1/2,-z'
'-x+1/2,y+1/2,-z'
'x+1/2,-y+1/2,z'
loop_
_atom_site_label
_atom_site_fract_x
_atom_site_fract_y
_atom_site_fract_z
Li1 0.134 0.250 0.268
Mg1 0.000 0.000 0.500
Mg2 0.242 0.500 0.985
Ga1 0.000 0.500 0.500

=====

No. 8
# LiMgGa3 | the Alexandria database | PBE-GGA | relaxed
# total magnetization: 0.000 Bohr magnetons per cell
# energy relative to the elements: -0.179 eV/atom
# offset from the most stable computed form: 0.0 kJ per mole of atoms
# Fermi-level density of states: 5.75 states/eV/cell
data_LiMgGa3
_symmetry_space_group_name_H-M 'C m c m'
_symmetry_Int_Tables_number 63
_symmetry_space_group_name_Hall '-C 2c 2'
_cell_length_a 3.273
_cell_length_b 25.831
_cell_length_c 4.358
_cell_angle_alpha 90.00
_cell_angle_beta 90.00
_cell_angle_gamma 90.00
loop_
_atom_site_label
_atom_site_fract_x
_atom_site_fract_y
_atom_site_fract_z
Li1 0.000 0.076 0.250
Mg1 0.000 0.216 0.750
Ga1 0.000 0.325 0.750
Ga2 0.000 0.379 0.250
Ga3 0.000 0.476 0.250

=====

No. 9
# LiMg2Ga6 | the Alexandria database | PBE-GGA | relaxed
# total magnetization: 0.000 Bohr magnetons per cell
# energy relative to the elements: -0.139 eV/atom
# offset from the most stable computed form: 0.0 kJ per mole of atoms
# Fermi-level density of states: 2.92 states/eV/cell
data_LiMg2Ga6
_symmetry_space_group_name_H-M 'P 6/m m m'
_symmetry_Int_Tables_number 191
_symmetry_space_group_name_Hall '-P 6 2'
_cell_length_a 7.8890
_cell_length_b 7.8890
_cell_length_c 3.0800
_cell_angle_alpha 90.00
_cell_angle_beta 90.00
_cell_angle_gamma 120.00
loop_
_atom_site_label
_atom_site_fract_x
_atom_site_fract_y
_atom_site_fract_z
Li1 0.0000 0.0000 0.0000
Mg1 0.3333 0.6667 0.0000
Ga1 0.0000 0.3308 0.5000

=====

No. 10
# Li8Mg3Ga | the Alexandria database | PBE-GGA | relaxed
# total magnetization: 0.000 Bohr magnetons per cell
# energy relative to the elements: 0.152 eV/atom
# Fermi-level density of states: 12.48 states/eV/cell
data_Li8Mg3Ga
_symmetry_space_group_name_H-M 'I -4 2 m'
_symmetry_Int_Tables_number 121
_symmetry_space_group_name_Hall 'I -4 2'
_cell_length_a 7.506
_cell_length_b 7.506
_cell_length_c 9.832
_cell_angle_alpha 90.00
_cell_angle_beta 90.00
_cell_angle_gamma 90.00
loop_
_atom_site_label
_atom_site_fract_x
_atom_site_fract_y
_atom_site_fract_z
Li1 0.128 0.128 0.274
Li2 0.234 0.234 0.534
Mg1 0.000 0.000 0.000
Mg2 0.000 0.500 0.250
Ga1 0.000 0.000 0.500

=====

No. 11
# Li2Mg3Ga4 | the Alexandria database | PBE-GGA | relaxed
# total magnetization: 0.000 Bohr magnetons per cell
# energy relative to the elements: -0.204 eV/atom
# Fermi-level density of states: 3.31 states/eV/cell
data_Li2Mg3Ga4
_symmetry_space_group_name_H-M 'C 1 2/m 1'
_symmetry_Int_Tables_number 12
_cell_length_a 9.481
_cell_length_b 4.217
_cell_length_c 9.370
_cell_angle_alpha 90.00
_cell_angle_beta 117.88
_cell_angle_gamma 90.00
loop_
_symmetry_equiv_pos_as_xyz
'x,y,z'
'-x,-y,-z'
'-x,y,-z'
'x,-y,z'
'x+1/2,y+1/2,z'
'-x+1/2,-y+1/2,-z'
'-x+1/2,y+1/2,-z'
'x+1/2,-y+1/2,z'
loop_
_atom_site_label
_atom_site_fract_x
_atom_site_fract_y
_atom_site_fract_z
Li1 0.008 0.000 0.203
Mg1 0.000 0.500 0.000
Mg2 0.186 0.000 0.609
Ga1 0.015 0.500 0.370
Ga2 0.249 0.000 0.100

=====

No. 12
# Li5Mg2Ga4 | the Alexandria database | PBE-GGA | relaxed
# total magnetization: 0.000 Bohr magnetons per cell
# energy relative to the elements: -0.172 eV/atom
# Fermi-level density of states: 6.68 states/eV/cell
data_Li5Mg2Ga4
_symmetry_space_group_name_H-M 'P b a m'
_symmetry_Int_Tables_number 55
_cell_length_a 5.398
_cell_length_b 16.268
_cell_length_c 4.632
_cell_angle_alpha 90.00
_cell_angle_beta 90.00
_cell_angle_gamma 90.00
loop_
_symmetry_equiv_pos_as_xyz
'x,y,z'
'-x,-y,-z'
'-x,-y,z'
'x,y,-z'
'x+1/2,-y+1/2,-z'
'-x+1/2,y+1/2,z'
'-x+1/2,y+1/2,-z'
'x+1/2,-y+1/2,z'
loop_
_atom_site_label
_atom_site_fract_x
_atom_site_fract_y
_atom_site_fract_z
Li1 0.000 0.000 0.000
Li2 0.019 0.192 0.000
Li3 0.047 0.411 0.000
Mg1 0.123 0.699 0.500
Ga1 0.133 0.874 0.500
Ga2 0.228 0.528 0.500